Entry a
This record from Alexandria via LeMat-Bulk describes a relaxed UPaPb2 crystal. The functional is GGA-PBE.

abc: 4.658 4.819 4.819
angles: 90.00 90.00 90.00
Last column: magnetic moment on the atom in μB.
Atoms (fractional coordinates):
Pb1 0.000 0.500 0.000  -0.04
Pb2 0.000 0.000 0.500  -0.04
Pa1 0.500 0.000 0.000  1.04
U1 0.500 0.500 0.500  2.62

Calculated values
crystal system: tetragonal


Entry b
This record from Alexandria via LeMat-Bulk describes a relaxed UPaPb2 crystal. The functional is GGA-PBE.

abc: 3.276 3.276 11.516
angles: 81.82 81.82 60.00
Last column: magnetic moment on the atom in μB.
Atoms (fractional coordinates):
Pb1 0.750 0.750 0.750  0.01
Pb2 0.250 0.250 0.250  0.01
U1 0.500 0.500 0.500  -2.27
Pa1 0.000 0.000 0.000  -0.04

Calculated values
crystal system: trigonal


Stability, lowest: entry a


Entry a
This record from Alexandria via LeMat-Bulk describes a relaxed UPa2Pb crystal. The functional is GGA-PBE.

abc: 5.233 5.233 5.233
angles: 60.00 60.00 60.00
Last column: magnetic moment on the atom in μB.
Atoms (fractional coordinates):
Pb1 0.500 0.500 0.500  -0.04
U1 0.000 0.000 0.000  2.44
Pa1 0.750 0.750 0.750  0.73
Pa2 0.250 0.250 0.250  0.73

Calculated values
crystal system: cubic


Entry b
This record from Alexandria via LeMat-Bulk describes a relaxed UPa2Pb crystal. The functional is GGA-PBE.

abc: 4.548 4.661 4.661
angles: 90.00 90.00 90.00
Last column: magnetic moment on the atom in μB.
Atoms (fractional coordinates):
Pb1 0.500 0.000 0.000  -0.01
Pa1 0.000 0.000 0.500  0.08
Pa2 0.000 0.500 0.000  0.08
U1 0.500 0.500 0.500  1.25

Calculated values
crystal system: tetragonal


Entry c
This record from Alexandria via LeMat-Bulk describes a relaxed UPa2Pb crystal. The functional is GGA-PBE.

abc: 3.807 3.807 6.870
angles: 90.00 90.00 90.00
Last column: magnetic moment on the atom in μB.
Atoms (fractional coordinates):
Pa1 0.000 0.000 0.777  0.35
Pa2 0.000 0.000 0.223  0.35
U1 0.500 0.500 0.000  1.14
Pb1 0.500 0.500 0.500  -0.01

Calculated values
crystal system: tetragonal


Entry d
This record from Alexandria via LeMat-Bulk describes a relaxed UPa2Pb crystal. The functional is GGA-PBE.

abc: 3.723 3.723 8.701
angles: 77.65 77.65 60.00
Atoms (fractional coordinates):
Pb1 0.500 0.500 0.500
Pa1 0.731 0.731 0.807
Pa2 0.269 0.269 0.193
U1 0.000 0.000 0.000

Calculated values
crystal system: trigonal


Stability, lowest: entry a